A geometry-optimized Ho5SiNi2 structure. Source: Alexandria via LeMat-Bulk, functional PBE.

Structure (POSCAR):
```
Ho5SiNi2
1.0
-1.721 -7.001 1.987
6.855 -0.874 2.858
-4.678 6.080 3.297
Ho Si Ni
10 2 4
direct
0.520 0.695 0.716 Ho
0.805 0.980 0.284 Ho
0.000 0.000 0.000 Ho
0.500 0.500 0.000 Ho
0.195 0.020 0.716 Ho
0.695 0.195 0.716 Ho
0.020 0.520 0.716 Ho
0.305 0.805 0.284 Ho
0.980 0.480 0.284 Ho
0.480 0.305 0.284 Ho
0.750 0.750 0.500 Si
0.250 0.250 0.500 Si
0.126 0.374 0.000 Ni
0.626 0.126 0.000 Ni
0.374 0.874 0.000 Ni
0.874 0.626 0.000 Ni
```

Values from the calculation:
- N(E_F) (states/eV per cell) = 14.84
- electronic total energy (eV/cell) = -86.850
- M_tot (μB per formula unit) = 0.00
- uncorrected formation energy (eV per atom) = -0.4438


A geometry-optimized TaHgCl structure. Source: Alexandria via LeMat-Bulk, functional PBE.

Structure (POSCAR):
```
TaHgCl
1.0
7.413 -0.001 0.000
6.151 4.137 0.000
-6.782 -2.068 2.163
Cl Hg Ta
1 1 1
direct
0.044 0.044 0.000 Cl
0.298 0.298 0.000 Hg
0.658 0.658 0.000 Ta
```

Values from the calculation:
- N(E_F) (states/eV per cell) = 1.27
- excess energy over the best structure of this formula in the dataset (meV/atom) = 296
- electronic total energy (eV/cell) = -13.674
- M_tot (μB per formula unit) = 0.00
- uncorrected formation energy (eV per atom) = 0.1090


A geometry-optimized SrAuNO2 structure. Source: Alexandria via LeMat-Bulk, functional PBE.

Structure (POSCAR):
```
SrAuNO2
1.0
-4.108 -2.075 0.728
1.989 -4.164 -0.643
1.002 -0.274 4.871
Sr Au O N
1 1 2 1
direct
0.000 0.000 0.000 Sr
0.500 0.500 0.500 Au
0.000 0.500 0.000 O
0.500 0.000 0.000 O
0.000 0.000 0.500 N
```

Values from the calculation:
- N(E_F) (states/eV per cell) = 5.24
- electronic total energy (eV/cell) = -18.904
- M_tot (μB per formula unit) = 4.03
- uncorrected formation energy (eV per atom) = 0.8595


A geometry-optimized RbAlCl4 structure. Source: Alexandria via LeMat-Bulk, functional PBE.

Structure (POSCAR):
```
RbAlCl4
1.0
-2.296 -3.232 -6.057
-0.574 -8.253 4.622
-10.900 2.365 2.870
Rb Al Cl
4 4 16
direct
0.250 0.663 0.181 Rb
0.750 0.337 0.819 Rb
0.750 0.163 0.319 Rb
0.250 0.837 0.681 Rb
0.250 0.190 0.062 Al
0.750 0.810 0.938 Al
0.750 0.690 0.438 Al
0.250 0.310 0.562 Al
0.250 0.402 0.391 Cl
0.750 0.598 0.609 Cl
0.750 0.902 0.109 Cl
0.250 0.098 0.891 Cl
0.250 0.035 0.199 Cl
0.750 0.965 0.801 Cl
0.750 0.535 0.301 Cl
0.250 0.465 0.699 Cl
0.007 0.322 0.081 Cl
0.993 0.678 0.919 Cl
0.993 0.822 0.419 Cl
0.507 0.678 0.919 Cl
0.007 0.178 0.581 Cl
0.493 0.322 0.081 Cl
0.493 0.178 0.581 Cl
0.507 0.822 0.419 Cl
```

Values from the calculation:
- N(E_F) (states/eV per cell) = 0.00
- electronic total energy (eV/cell) = -91.054
- M_tot (μB per formula unit) = 0.00
- uncorrected formation energy (eV per atom) = -1.7778


A geometry-optimized In2OsPb structure. Source: Alexandria via LeMat-Bulk, functional PBE.

Structure (POSCAR):
```
In2OsPb
1.0
-5.794 2.276 -3.638
-1.473 1.025 -6.983
1.967 -3.858 5.765
In Os Pb
2 1 1
direct
0.064 0.064 0.000 In
0.436 0.436 0.000 In
0.250 0.750 0.500 Os
0.750 0.250 0.500 Pb
```

Values from the calculation:
- N(E_F) (states/eV per cell) = 2.43
- ΔE_f (eV/atom) = 0.495
- electronic total energy (eV/cell) = -18.436
- M_tot (μB per formula unit) = 0.00


A geometry-optimized BaLiSmIn structure. Source: Alexandria via LeMat-Bulk, functional PBE.

Structure (POSCAR):
```
BaLiSmIn
1.0
-5.223 -1.934 -1.259
-0.917 -2.750 -4.919
-1.048 -5.613 0.020
Li Ba Sm In
1 1 1 1
direct
0.000 0.000 0.000 Li
0.250 0.250 0.250 Ba
0.750 0.750 0.750 Sm
0.500 0.500 0.500 In
```

Values from the calculation:
- N(E_F) (states/eV per cell) = 4.42
- ΔE_f (eV/atom) = -0.125
- electronic total energy (eV/cell) = -11.793
- M_tot (μB per formula unit) = 0.00


A geometry-optimized TbDyS structure. Source: Alexandria via LeMat-Bulk, functional PBE.

Structure (POSCAR):
```
TbDyS
1.0
-0.143 -3.478 1.535
1.468 -2.968 -1.874
5.944 -1.162 2.634
S Dy Tb
1 1 1
direct
0.358 0.358 0.925 S
0.110 0.110 0.669 Dy
0.605 0.605 0.185 Tb
```

Values from the calculation:
- N(E_F) (states/eV per cell) = 1.56
- excess energy over the best structure of this formula in the dataset (meV/atom) = 0
- electronic total energy (eV/cell) = -17.209
- M_tot (μB per formula unit) = 0.00
- uncorrected formation energy (eV per atom) = -1.2831


A geometry-optimized Sc9Ga3O2 structure. Source: Alexandria via LeMat-Bulk, functional PBE.

Structure (POSCAR):
```
Sc9Ga3O2
1.0
6.195 0.000 0.000
-3.097 5.365 0.000
0.000 0.000 7.598
Sc Ga O
9 3 2
direct
0.167 0.833 0.667 Sc
0.167 0.334 0.667 Sc
0.500 0.500 0.000 Sc
0.833 0.666 0.333 Sc
0.334 0.167 0.333 Sc
0.666 0.833 0.667 Sc
0.833 0.167 0.333 Sc
0.000 0.500 0.000 Sc
0.500 0.000 0.000 Sc
0.667 0.333 0.667 Ga
0.000 0.000 0.000 Ga
0.333 0.667 0.333 Ga
0.667 0.333 0.162 O
0.333 0.667 0.838 O
```

Values from the calculation:
- N(E_F) (states/eV per cell) = 14.34
- electronic total energy (eV/cell) = -92.335
- M_tot (μB per formula unit) = 0.07
- uncorrected formation energy (eV per atom) = -1.1682